{
  "formula": "TbH11Rh5",
  "functional": "GGA-PBE",
  "state": "optimized geometry",
  "energy_ha_per_atom": -0.17240,
  "cell": [[-2.764, -0.526, -4.592], [3.842, -3.697, -0.418], [-2.837, -2.873, 3.507]],
  "species": ["Rh", "Rh", "Rh", "Rh", "Rh", "H", "H", "H", "H", "H", "H", "H", "H", "H", "H", "H", "Tb"],
  "fractional_positions": [[0.708, 0.373, 0.979], [0.292, 0.021, 0.627], [0.292, 0.627, 0.021], [0.000, 0.500, 0.500], [0.708, 0.979, 0.373], [0.318, 0.695, 0.695], [0.937, 0.816, 0.548], [0.354, 0.843, 0.335], [0.646, 0.157, 0.665], [0.937, 0.548, 0.816], [0.646, 0.665, 0.157], [0.063, 0.184, 0.452], [0.063, 0.452, 0.184], [0.500, 0.000, 0.000], [0.354, 0.335, 0.843], [0.682, 0.305, 0.305], [0.000, 0.000, 0.000]]
}

{
  "formula": "CaReSb2",
  "functional": "GGA-PBE",
  "state": "optimized geometry",
  "energy_ha_per_atom": -0.20810,
  "polymorph_energy_kj_per_mol_fu": 14.7,
  "e_form_raw_ev_per_atom": 0.011,
  "cell": [[8.072, -0.012, -0.003], [6.507, 4.776, 0.003], [-7.231, -2.563, 2.511]],
  "species": ["Sb", "Sb", "Ca", "Re"],
  "fractional_positions": [[0.070, 0.070, 0.000], [0.781, 0.281, 0.500], [0.443, 0.443, 0.000], [0.205, 0.705, 0.500]]
}

{
  "formula": "KAcCl",
  "functional": "GGA-PBE",
  "state": "optimized geometry",
  "energy_ha_per_atom": -0.12705,
  "e_form_raw_ev_per_atom": -1.106,
  "cell": [[4.365, 0.000, 0.000], [0.000, 4.365, 0.000], [0.000, 0.000, 12.159]],
  "species": ["K", "K", "Ac", "Ac", "Cl", "Cl"],
  "fractional_positions": [[0.000, 0.500, 0.363], [0.500, 0.000, 0.637], [0.500, 0.000, 0.102], [0.000, 0.500, 0.898], [0.500, 0.000, 0.368], [0.000, 0.500, 0.632]]
}